29
Lattice="0.000 6.239 6.239 6.239 0.000 6.239 6.239 6.239 0.000" Properties=species:S:1:pos:R:3 comment="PBE Ho3Ga6Pd20, relaxed" sg="Fm-3m (225)" formation_energy_mev_per_atom=-674 m_tot_mub_per_cell=0.00 pbc="T T T"
Ho 0.000 0.000 0.000
Ho 3.119 3.119 3.119
Ho 9.358 9.358 9.358
Ga 6.239 6.239 3.423
Ga 6.239 3.423 6.239
Ga 9.055 6.239 6.239
Ga 3.423 6.239 6.239
Ga 6.239 9.055 6.239
Ga 6.239 6.239 9.055
Pd 2.142 2.142 0.000
Pd 4.097 4.097 0.000
Pd 2.142 0.000 2.142
Pd 6.239 4.097 2.142
Pd 4.097 0.000 4.097
Pd 6.239 2.142 4.097
Pd 7.767 4.711 4.711
Pd 0.000 2.142 2.142
Pd 4.097 6.239 2.142
Pd 4.097 2.142 6.239
Pd 4.711 4.711 4.711
Pd 7.767 7.767 4.711
Pd 7.767 4.711 7.767
Pd 4.711 7.767 4.711
Pd 4.711 4.711 7.767
Pd 7.767 7.767 7.767
Pd 0.000 4.097 4.097
Pd 2.142 6.239 4.097
Pd 2.142 4.097 6.239
Pd 4.711 7.767 7.767

=====

20
Lattice="-5.070 6.429 2.835 5.070 -6.429 2.835 5.070 6.429 -2.835" Properties=species:S:1:pos:R:3 comment="PBE Ho2Ga5Pd3, relaxed" e_above_lowest_polymorph_mev_per_atom=0 sg="Ibam (72)" formation_energy_mev_per_atom=-754 m_tot_mub_per_cell=0.00 pbc="T T T"
Ho 2.273 1.842 0.000
Ho 2.273 -1.842 2.835
Ho 2.797 8.271 0.000
Ho 2.797 4.587 2.835
Ga 5.070 -2.634 1.418
Ga 6.827 1.192 0.000
Ga 0.000 0.000 1.418
Ga 1.757 5.237 0.000
Ga 5.070 2.634 1.418
Ga 0.000 3.795 1.418
Ga 3.313 1.192 2.835
Ga 0.000 0.000 4.253
Ga -1.757 5.237 2.835
Ga 0.000 9.062 1.418
Pd 4.138 -4.539 2.835
Pd 5.070 0.000 1.418
Pd 4.138 4.539 0.000
Pd 0.932 1.890 2.835
Pd 0.000 6.429 1.418
Pd 0.932 10.968 0.000

=====

18
Lattice="6.063 0.000 0.000 0.000 6.063 0.000 0.000 0.000 8.658" Properties=species:S:1:pos:R:3 comment="PBE HoGa4Pd4, relaxed" sg="P4_2/nmc (137)" formation_energy_mev_per_atom=-616 m_tot_mub_per_cell=0.00 pbc="T T T"
Ho 1.516 4.547 2.164
Ho 4.547 1.516 6.493
Ga 0.233 1.516 0.522
Ga 1.516 0.233 4.851
Ga 1.516 2.798 4.851
Ga 2.798 1.516 0.522
Ga 3.265 4.547 8.135
Ga 4.547 3.265 3.807
Ga 4.547 5.829 3.807
Ga 5.829 4.547 8.135
Pd 0.132 1.516 3.075
Pd 1.516 0.132 7.404
Pd 1.516 2.899 7.404
Pd 2.899 1.516 3.075
Pd 3.163 4.547 5.583
Pd 4.547 3.163 1.254
Pd 4.547 5.931 1.254
Pd 5.931 4.547 5.583

=====

8
Lattice="4.050 0.000 0.000 0.000 4.050 0.000 0.000 0.000 7.925" Properties=species:S:1:pos:R:3 comment="PBE HoGaPd6, relaxed" e_above_lowest_polymorph_mev_per_atom=0 sg="P4/mmm (123)" formation_energy_mev_per_atom=-676 m_tot_mub_per_cell=0.00 pbc="T T T"
Ho 0.000 0.000 0.000
Ga 0.000 0.000 3.963
Pd 0.000 2.025 2.102
Pd 0.000 2.025 5.823
Pd 2.025 0.000 2.102
Pd 2.025 0.000 5.823
Pd 2.025 2.025 0.000
Pd 2.025 2.025 3.963

=====

Question: Number 3 is which compound?
Answer: HoGa4Pd4